VASP calculation (PBE-GGA) on crystalline Tb8Nd3Sm4 at its relaxed geometry.

Volume in Å³ per cell: 513.0
Calculated total energy in eV per atom: -4.32
Calculated density in g cm⁻³: 7.46
Spin magnetization in μB/atom: 0.000

Cell lengths 9.3371, 9.3371, 6.8239 Å; angles 111.43, 111.43, 87.22 degrees
With the nearest neighbours (Å) after each atom.
Fractional coordinates of all 15 atoms:
Tb  0.1414  0.8586  0.0000  7 Tb 3.64-3.67, 4 Nd 3.66-3.87, 2 Sm 3.66
Tb  0.2322  0.2322  0.9964  3 Nd 3.23-3.26, 2 Tb 3.25-3.57, 2 Sm 3.52-3.61
Tb  0.2343  0.2343  0.4754  4 Sm 3.23-3.57, 2 Tb 3.25-3.57, 1 Nd 3.26
Tb  0.2442  0.7558  0.5000  3 Nd 3.15-3.38, 3 Sm 3.29-3.38
Tb  0.7558  0.2442  0.5000  3 Nd 3.15-3.38, 3 Sm 3.29-3.38
Tb  0.7657  0.7657  0.5246  4 Sm 3.23-3.57, 2 Tb 3.25-3.57, 1 Nd 3.26
Tb  0.7678  0.7678  0.0036  3 Nd 3.23-3.26, 2 Tb 3.25-3.57, 2 Sm 3.52-3.61
Tb  0.8586  0.1414  0.0000  7 Tb 3.64-3.67, 4 Nd 3.66-3.87, 2 Sm 3.66
Nd  0.0000  0.0000  0.5000  6 Tb 3.15-3.26
Nd  0.0000  0.5000  0.0000  4 Tb 3.23-3.38, 2 Sm 3.41
Nd  0.5000  0.0000  0.0000  4 Tb 3.23-3.38, 2 Sm 3.41
Sm  0.0000  0.5000  0.5000  4 Tb 3.23-3.38, 2 Nd 3.41
Sm  0.5000  0.0000  0.5000  4 Tb 3.23-3.38, 2 Nd 3.41
Sm  0.5000  0.5000  0.0000  2 Sm 3.41, 4 Tb 3.57-3.61
Sm  0.5000  0.5000  0.5000  6 Tb 3.29-3.52, 2 Sm 3.41